Entry 1:
First-principles (PBE-GGA) data for a geometry-optimized Ti4Cu2Re structure, as listed in the Alexandria database.

Geometry as extended XYZ:
```
7
Lattice="-2.373 -3.401 2.223 2.831 -3.231 -1.921 4.072 -2.830 4.998" Properties=species:S:1:pos:R:3 pbc="T T T"
Re 0.000 0.000 0.000
Cu 1.026 -3.215 1.156
Cu 3.503 -6.247 4.144
Ti 2.569 -3.020 3.103
Ti 1.960 -6.442 2.197
Ti 1.416 -1.616 -0.960
Ti -1.187 -1.701 1.112
```

calculated formation energy: 653 meV per atom
V: 19.63 Å³/atom
symmetry: No. 139



Entry 2:
First-principles (PBE-GGA) data for a geometry-optimized AsPtF structure, as listed in the Alexandria database.

Geometry as extended XYZ:
```
12
Lattice="-3.652 2.999 -1.543 1.481 -1.659 -6.730 -4.701 -3.798 3.745" Properties=species:S:1:pos:R:3 pbc="T T T"
As -3.816 -4.031 1.188
As -0.725 -2.962 -4.050
As -4.325 -0.992 0.292
As -1.234 0.077 -4.946
F -2.278 -3.504 -1.430
F -0.669 -0.776 0.063
F -4.383 -3.177 -3.821
F -2.773 -0.449 -2.329
Pt -2.174 -2.381 0.509
Pt -2.876 -1.573 -4.267
Pt -5.967 -2.642 0.970
Pt 0.917 -1.312 -4.728
```

V: 17.91 Å³/atom
symmetry: No. 11
formation energy from raw total energies: -851 meV/atom



Entry 3:
First-principles (PBE-GGA) data for a geometry-optimized SrCr4Se structure, as listed in the Alexandria database.

Geometry as extended XYZ:
```
6
Lattice="-0.325 -3.691 3.612 -3.622 -3.677 -0.376 1.357 -4.862 -1.140" Properties=species:S:1:pos:R:3 pbc="T T T"
Sr 0.000 0.000 0.000
Cr -2.671 -6.401 0.632
Cr -1.146 -6.408 2.477
Cr -0.368 -6.950 0.279
Cr -0.995 -4.701 0.806
Se -1.942 -9.172 1.573
```

V: 16.33 Å³/atom
symmetry: No. 216
formation energy from raw total energies: 849 meV/atom



Entry 4:
First-principles (PBE-GGA) data for a geometry-optimized LaHoPb2 structure, as listed in the Alexandria database.

Geometry as extended XYZ:
```
4
Lattice="-0.804 4.691 0.838 -1.531 2.866 -3.577 -7.367 1.090 0.763" Properties=species:S:1:pos:R:3 pbc="T T T"
La -8.844 6.146 -1.083
Ho -4.947 4.303 -0.964
Pb -5.581 1.477 0.309
Pb -2.549 2.135 -0.463
```

calculated formation energy: -367 meV per atom
V: 35.13 Å³/atom
symmetry: No. 160



Entry 5:
First-principles (PBE-GGA) data for a geometry-optimized BaZnSi2 structure, as listed in the Alexandria database.

Geometry as extended XYZ:
```
32
Lattice="4.409 0.000 0.000 0.000 11.237 0.000 0.000 0.000 14.769" Properties=species:S:1:pos:R:3 pbc="T T T"
Ba 3.306 5.595 10.343
Ba 1.102 11.213 11.810
Ba 1.102 5.642 4.426
Ba 3.306 0.024 2.958
Ba 3.306 2.902 13.976
Ba 1.102 8.520 8.177
Ba 1.102 8.336 0.793
Ba 3.306 2.717 6.592
Zn 3.306 6.314 13.851
Zn 1.102 0.695 8.302
Zn 1.102 4.924 0.918
Zn 3.306 10.542 6.467
Zn 3.306 3.391 2.865
Zn 1.102 9.009 4.520
Zn 1.102 7.846 11.904
Zn 3.306 2.228 10.249
Si 3.306 10.865 14.336
Si 1.102 5.246 7.818
Si 1.102 0.372 0.433
Si 3.306 5.991 6.951
Si 3.306 8.845 13.076
Si 1.102 3.226 9.077
Si 1.102 2.393 1.693
Si 3.306 8.011 5.692
Si 3.306 8.931 10.628
Si 1.102 3.312 11.526
Si 1.102 2.306 4.141
Si 3.306 7.925 3.243
Si 3.306 11.027 9.255
Si 1.102 5.409 12.898
Si 1.102 0.210 5.514
Si 3.306 5.829 1.871
```

V: 22.86 Å³/atom
symmetry: No. 62
formation energy from raw total energies: -282 meV/atom



Entry 6:
First-principles (PBE-GGA) data for a geometry-optimized Tl2Sn6Hg structure, as listed in the Alexandria database.

Geometry as extended XYZ:
```
9
Lattice="-1.419 2.986 1.181 -0.111 2.616 10.057 5.027 9.094 -0.152" Properties=species:S:1:pos:R:3 pbc="T T T"
Tl 0.638 5.346 3.713
Tl 2.859 9.350 7.372
Sn -0.498 3.441 7.149
Sn 0.824 7.257 10.236
Sn 3.995 11.255 3.936
Sn 0.950 6.342 7.128
Sn 2.672 7.439 0.849
Sn 2.546 8.354 3.957
Hg 0.000 0.000 0.000
```

calculated formation energy: 51 meV per atom
distance to the lowest polymorph of the same formula: 11.2 meV per atom
V: 29.39 Å³/atom
symmetry: No. 12